First-principles (GGA-PBE) data for a relaxed SrNbCl2 crystal, as listed in the Alexandria database.

Cell lengths 3.4437, 3.4437, 27.7426 Å; angles 90.00, 90.00, 120.00 degrees
Space group R-3m (No. 166, hexagonal axes)
Symmetry-distinct sites (fractional):
Sr 0.0000 0.0000 0.0000 (multiplicity 3)
Nb 0.0000 0.0000 0.5000 (multiplicity 3)
Cl 0.0000 0.0000 0.4100 (multiplicity 6)

Properties
The total energy comes out at -53.04 eV for the cell shown. The value obtained for the formation energy (no corrections) is -559 meV per atom. For the energy relative to the lowest polymorph listed for this composition, the calculation gives 0 meV/atom.

First-principles (GGA-PBE) data for a relaxed Ba4NiAu crystal, as listed in the Alexandria database.

Cell lengths 9.874, 9.874, 9.874 Å; angles 90.00, 90.00, 90.00 degrees
Space group F-43m (No. 216)
Symmetry-distinct sites (fractional):
Ba 0.125 0.125 0.125 (multiplicity 16)
Ni 0.250 0.250 0.750 (multiplicity 4)
Au 0.000 0.000 0.500 (multiplicity 4)

Properties
The total energy comes out at -49.19 eV for the cell shown. For the energy relative to the lowest polymorph listed for this composition, the calculation gives 948 meV/atom.

First-principles (GGA-PBE) data for a relaxed LiGa2Au2 crystal, as listed in the Alexandria database.

Cell lengths 4.403, 4.447, 9.242 Å; angles 90.00, 90.00, 90.00 degrees
Space group Pmmn (No. 59, origin choice 2)
Symmetry-distinct sites (fractional):
Li 0.250 0.250 0.178 (multiplicity 2)
Ga 0.250 0.250 0.498 (multiplicity 2)
Ga 0.250 0.250 0.825 (multiplicity 2)
Au 0.250 0.750 0.340 (multiplicity 2)
Au 0.250 0.750 0.992 (multiplicity 2)

Properties
The total energy comes out at -32.75 eV for the cell shown. For the energy relative to the lowest polymorph listed for this composition, the calculation gives 0 meV/atom.

First-principles (GGA-PBE) data for a relaxed Re2BTeBr crystal, as listed in the Alexandria database.

Cell lengths 4.797, 4.797, 3.915 Å; angles 90.00, 90.00, 90.00 degrees
Space group P4/mmm (No. 123)
Symmetry-distinct sites (fractional):
Re 0.000 0.500 0.000 (multiplicity 2)
B 0.000 0.000 0.500 (multiplicity 1)
Te 0.500 0.500 0.500 (multiplicity 1)
Br 0.000 0.000 0.000 (multiplicity 1)

Properties
The total energy comes out at -24.36 eV for the cell shown. The value obtained for the formation energy (no corrections) is 2406 meV per atom.